1.
# Dy5Ho12Sc

A geometry-optimized Dy5Ho12Sc structure (PBE, Alexandria via LeMat-Bulk).

Calculated values
Space group: No. 65
ΔE_f (eV/atom): 0.02
Total moment (μB per formula unit): 0.0
Calculated density (g/cm³): 8.5

Cell lengths 7.875, 7.875, 14.899 Å; angles 90.00, 90.00, 143.24 degrees
Sites, in units of the cell vectors:
Dy 0.000 0.000 0.000
Dy 0.164 0.836 0.500
Dy 0.333 0.667 0.000
Dy 0.667 0.333 0.000
Dy 0.836 0.164 0.500
Ho 0.000 0.000 0.336
Ho 0.000 0.000 0.664
Ho 0.167 0.833 0.169
Ho 0.167 0.833 0.831
Ho 0.334 0.666 0.336
Ho 0.334 0.666 0.664
Ho 0.500 0.500 0.168
Ho 0.500 0.500 0.832
Ho 0.666 0.334 0.336
Ho 0.666 0.334 0.664
Ho 0.833 0.167 0.169
Ho 0.833 0.167 0.831
Sc 0.500 0.500 0.500



2.
# Gd3P4Pd7

A geometry-optimized Gd3P4Pd7 structure (PBE, Alexandria via LeMat-Bulk).

Calculated values
Space group: No. 12
ΔE_f (eV/atom): -0.98
Total moment (μB per formula unit): 20.9
Calculated density (g/cm³): 9.3

Cell lengths 7.994, 7.994, 9.465 Å; angles 124.31, 124.31, 29.12 degrees
Sites, in units of the cell vectors:
Gd 0.000 0.000 0.000
Gd 0.319 0.319 0.322
Gd 0.681 0.681 0.678
P 0.106 0.106 0.820
P 0.340 0.340 0.745
P 0.660 0.660 0.255
P 0.894 0.894 0.180
Pd 0.000 0.000 0.500
Pd 0.168 0.168 0.420
Pd 0.306 0.306 0.971
Pd 0.490 0.490 0.716
Pd 0.510 0.510 0.284
Pd 0.694 0.694 0.029
Pd 0.832 0.832 0.580



3.
# NdBe2Ni

A geometry-optimized NdBe2Ni structure (PBE, Alexandria via LeMat-Bulk).

Calculated values
Space group: No. 166
ΔE_f (eV/atom): -0.20
Total moment (μB per formula unit): 0.0
Calculated density (g/cm³): 5.9

Cell lengths 5.479, 5.479, 5.479 Å; angles 40.42, 40.42, 40.42 degrees
Sites, in units of the cell vectors:
Nd 0.000 0.000 0.000
Be 0.189 0.189 0.189
Be 0.811 0.811 0.811
Ni 0.500 0.500 0.500



4.
# SnSbO2F

A geometry-optimized SnSbO2F structure (PBE, Alexandria via LeMat-Bulk).

Calculated values
Space group: No. 123
Energy relative to the elements, uncorrected (meV/atom): -1068
Total moment (μB per formula unit): 0.0
Calculated density (g/cm³): 5.8

Cell lengths 4.334, 4.334, 4.432 Å; angles 90.00, 90.00, 90.00 degrees
Sites, in units of the cell vectors:
Sn 0.000 0.000 0.000
Sb 0.500 0.500 0.500
O 0.000 0.500 0.500
O 0.500 0.000 0.500
F 0.500 0.500 0.000



5.
# KGe3C

A geometry-optimized KGe3C structure (PBE, Alexandria via LeMat-Bulk).

Calculated values
Space group: No. 221
ΔE_f (eV/atom): 2.84
Excess energy over the best structure of this formula in the dataset (eV per atom): 1.8341
Total moment (μB per formula unit): 0.4
Calculated density (g/cm³): 2.6

Cell lengths 5.592, 5.592, 5.592 Å; angles 90.00, 90.00, 90.00 degrees
Sites, in units of the cell vectors:
K 0.000 0.000 0.000
Ge 0.000 0.000 0.500
Ge 0.000 0.500 0.000
Ge 0.500 0.000 0.000
C 0.500 0.500 0.500



6.
# Li2CoPd2

A geometry-optimized Li2CoPd2 structure (PBE, Alexandria via LeMat-Bulk).

Calculated values
Space group: No. 127
ΔE_f (eV/atom): -0.05
Excess energy over the best structure of this formula in the dataset (eV per atom): 0.0000
Total moment (μB per formula unit): 1.8
Calculated density (g/cm³): 7.3

Cell lengths 6.826, 6.826, 2.779 Å; angles 90.00, 90.00, 90.00 degrees
Sites, in units of the cell vectors:
Li 0.118 0.382 0.000
Li 0.382 0.882 0.000
Li 0.618 0.118 0.000
Li 0.882 0.618 0.000
Co 0.000 0.000 0.000
Co 0.500 0.500 0.000
Pd 0.184 0.684 0.500
Pd 0.316 0.184 0.500
Pd 0.684 0.816 0.500
Pd 0.816 0.316 0.500



7.
# Tb2Tm7Pu

A geometry-optimized Tb2Tm7Pu structure (PBE, Alexandria via LeMat-Bulk).

Calculated values
Space group: No. 65
ΔE_f (eV/atom): 0.49
Total moment (μB per formula unit): 5.9
Calculated density (g/cm³): 8.8

Cell lengths 10.043, 10.043, 3.440 Å; angles 90.00, 90.00, 108.13 degrees
Sites, in units of the cell vectors:
Tb 0.166 0.834 0.000
Tb 0.834 0.166 0.000
Tm 0.130 0.394 0.000
Tm 0.328 0.672 0.500
Tm 0.394 0.130 0.000
Tm 0.500 0.500 0.000
Tm 0.606 0.870 0.000
Tm 0.672 0.328 0.500
Tm 0.870 0.606 0.000
Pu 0.000 0.000 0.500



8.
# CuSe4

A geometry-optimized CuSe4 structure (PBE, Alexandria via LeMat-Bulk).

Calculated values
Space group: No. 87
Energy relative to the elements, uncorrected (meV/atom): 284
Excess energy over the best structure of this formula in the dataset (eV per atom): 0.2335
Total moment (μB per formula unit): 0.0
Calculated density (g/cm³): 5.5

Cell lengths 6.112, 6.112, 6.112 Å; angles 94.28, 94.28, 148.28 degrees
Sites, in units of the cell vectors:
Cu 0.000 0.000 0.000
Se 0.280 0.631 0.911
Se 0.369 0.280 0.649
Se 0.631 0.720 0.351
Se 0.720 0.369 0.089



9.
# CsOsO4

A geometry-optimized CsOsO4 structure (PBE, Alexandria via LeMat-Bulk).

Calculated values
Space group: No. 127
Energy relative to the elements, uncorrected (meV/atom): -1161
Total moment (μB per formula unit): 0.1
Calculated density (g/cm³): 6.4

Cell lengths 5.422, 5.422, 6.867 Å; angles 90.00, 90.00, 90.00 degrees
Sites, in units of the cell vectors:
Cs 0.000 0.500 0.000
Cs 0.500 0.000 0.000
Os 0.000 0.000 0.500
Os 0.500 0.500 0.500
O 0.000 0.000 0.234
O 0.000 0.000 0.766
O 0.248 0.252 0.500
O 0.252 0.752 0.500
O 0.500 0.500 0.234
O 0.500 0.500 0.766
O 0.748 0.248 0.500
O 0.752 0.748 0.500



10.
# Ga2Ni9Sb

A geometry-optimized Ga2Ni9Sb structure (PBE, Alexandria via LeMat-Bulk).

Calculated values
Space group: No. 123
Energy relative to the elements, uncorrected (meV/atom): -250
Total moment (μB per formula unit): 1.0
Calculated density (g/cm³): 9.1

Cell lengths 3.646, 3.646, 10.817 Å; angles 90.00, 90.00, 90.00 degrees
Sites, in units of the cell vectors:
Ga 0.000 0.000 0.160
Ga 0.000 0.000 0.840
Ni 0.000 0.500 0.000
Ni 0.000 0.500 0.324
Ni 0.000 0.500 0.676
Ni 0.500 0.000 0.000
Ni 0.500 0.000 0.324
Ni 0.500 0.000 0.676
Ni 0.500 0.500 0.163
Ni 0.500 0.500 0.500
Ni 0.500 0.500 0.837
Sb 0.000 0.000 0.500



11.
# YIr2Rh

A geometry-optimized YIr2Rh structure (PBE, Alexandria via LeMat-Bulk).

Calculated values
Space group: No. 122
ΔE_f (eV/atom): -0.02
Excess energy over the best structure of this formula in the dataset (eV per atom): 0.3928
Total moment (μB per formula unit): 0.0
Calculated density (g/cm³): 12.5

Cell lengths 9.850, 9.850, 9.850 Å; angles 156.44, 156.44, 33.57 degrees
Sites, in units of the cell vectors:
Y 0.000 0.000 0.000
Y 0.750 0.250 0.500
Ir 0.191 0.625 0.066
Ir 0.375 0.441 0.566
Ir 0.559 0.125 0.934
Ir 0.875 0.809 0.434
Rh 0.250 0.750 0.500
Rh 0.500 0.500 0.000



12.
# Na2NdSnSe4

A geometry-optimized Na2NdSnSe4 structure (PBE, Alexandria via LeMat-Bulk).

Calculated values
Space group: No. 10
Energy relative to the elements, uncorrected (meV/atom): -1169
Total moment (μB per formula unit): 0.0
Calculated density (g/cm³): 4.8

Cell lengths 7.335, 4.187, 7.437 Å; angles 90.00, 108.94, 90.00 degrees
Sites, in units of the cell vectors:
Na 0.000 0.000 0.000
Na 0.500 0.500 0.000
Nd 0.000 0.500 0.500
Sn 0.500 0.000 0.500
Se 0.253 0.000 0.734
Se 0.262 0.500 0.267
Se 0.738 0.500 0.733
Se 0.747 0.000 0.266



What did the twelfth record say?
# Na2NdSnSe4

A geometry-optimized Na2NdSnSe4 structure (PBE, Alexandria via LeMat-Bulk).

Calculated values
Space group: No. 10
Energy relative to the elements, uncorrected (meV/atom): -1169
Total moment (μB per formula unit): 0.0
Calculated density (g/cm³): 4.8

Cell lengths 7.335, 4.187, 7.437 Å; angles 90.00, 108.94, 90.00 degrees
Sites, in units of the cell vectors:
Na 0.000 0.000 0.000
Na 0.500 0.500 0.000
Nd 0.000 0.500 0.500
Sn 0.500 0.000 0.500
Se 0.253 0.000 0.734
Se 0.262 0.500 0.267
Se 0.738 0.500 0.733
Se 0.747 0.000 0.266



What did the eighth record say?
# CuSe4

A geometry-optimized CuSe4 structure (PBE, Alexandria via LeMat-Bulk).

Calculated values
Space group: No. 87
Energy relative to the elements, uncorrected (meV/atom): 284
Excess energy over the best structure of this formula in the dataset (eV per atom): 0.2335
Total moment (μB per formula unit): 0.0
Calculated density (g/cm³): 5.5

Cell lengths 6.112, 6.112, 6.112 Å; angles 94.28, 94.28, 148.28 degrees
Sites, in units of the cell vectors:
Cu 0.000 0.000 0.000
Se 0.280 0.631 0.911
Se 0.369 0.280 0.649
Se 0.631 0.720 0.351
Se 0.720 0.369 0.089